! LiCo3O6 | Alexandria | GGA+U | optimized geometry; values from VASP
&SYSTEM
  ibrav = 0, nat = 20, ntyp = 3
/
ATOMIC_SPECIES
O 16.00 O.upf
Li 6.94 Li.upf
Co 58.93 Co.upf
CELL_PARAMETERS angstrom
-4.277 0.706 -2.194
0.232 -2.817 3.952
-2.864 7.318 6.296
ATOMIC_POSITIONS crystal
O 0.368 0.368 0.904
O 0.978 0.303 0.098
O 0.525 0.197 0.402
O 0.803 0.475 0.598
O 0.197 0.525 0.402
O 0.136 0.136 0.597
O 0.475 0.803 0.598
O 0.303 0.978 0.098
O 0.864 0.864 0.403
O 0.632 0.632 0.096
O 0.697 0.022 0.902
O 0.022 0.697 0.902
Li 0.261 0.261 0.250
Li 0.739 0.739 0.750
Co 0.332 0.668 0.000
Co 0.500 0.500 0.500
Co 0.167 0.833 0.500
Co 0.833 0.167 0.500
Co 0.668 0.332 0.000
Co 0.000 0.000 0.000
! Space group ... C2/m
! E above lowest polymorph ... 0.021 eV per atom
! Mass density ... 4544 kg/m3